# 1
## CuPIO2 (PBEsol)

Data for CuPIO2 after structural relaxation.

Summary:
- Space group: P4/mmm (123)
- DFT total energy: -19.74 eV per cell

```
CuPIO2
1.0
3.736 0.000 0.000
0.000 3.736 0.000
0.000 0.000 5.982
I P O Cu
1 1 2 1
Cartesian
0.000 0.000 2.991 I
1.868 1.868 2.991 P
0.000 1.868 0.000 O
1.868 0.000 0.000 O
0.000 0.000 0.000 Cu
```

***

# 2
## RbCuIO2 (PBEsol)

Data for RbCuIO2 after structural relaxation.

Summary:
- Space group: P4/mmm (123)
- DFT total energy: -17.60 eV per cell

```
RbCuIO2
1.0
-3.797 2.057 0.681
-0.968 -2.840 3.179
2.243 3.022 3.382
I O Cu Rb
1 2 1 1
Cartesian
1.122 1.511 1.691 I
-0.484 -1.420 1.590 O
-1.898 1.028 0.340 O
0.000 0.000 0.000 Cu
-1.261 1.119 3.621 Rb
```

***

# 3
## CuRhIO2 (PBEsol)

Data for CuRhIO2 after structural relaxation.

Summary:
- Space group: P4/mmm (123)
- DFT total energy: -22.39 eV per cell

```
CuRhIO2
1.0
-0.537 3.246 1.702
-2.620 0.863 -2.472
-3.948 -2.406 3.345
I Rh O Cu
1 1 2 1
Cartesian
-1.974 -1.203 1.673 I
-3.552 0.851 1.287 Rh
-1.310 0.431 -1.236 O
-0.268 1.623 0.851 O
0.000 0.000 0.000 Cu
```

***

# 4
## CuSb2IO (PBEsol)

Data for CuSb2IO after structural relaxation.

Summary:
- Space group: P4/mmm (123)
- DFT total energy: -16.29 eV per cell

```
CuSb2IO
1.0
-0.974 2.619 -4.085
2.604 -3.234 -2.695
-4.243 -2.776 -0.768
I Sb O Cu
1 2 1 1
Cartesian
-2.122 -1.388 -0.384 I
1.302 -1.617 -1.347 Sb
-0.487 1.310 -2.042 Sb
-1.307 -1.695 -3.774 O
0.000 0.000 0.000 Cu
```

***

# 5
## SrCuI2O (PBEsol)

Data for SrCuI2O after structural relaxation.

Summary:
- Space group: P4/mmm (123)
- DFT total energy: -15.70 eV per cell

```
SrCuI2O
1.0
4.238 0.000 0.000
0.000 6.262 0.000
0.000 0.000 6.262
I Sr O Cu
2 1 1 1
Cartesian
0.000 0.000 3.131 I
0.000 3.131 0.000 I
0.000 0.000 0.000 Sr
2.119 0.000 0.000 O
2.119 3.131 3.131 Cu
```

***

# 6
## CuTeI2O (PBEsol)

Data for CuTeI2O after structural relaxation.

Summary:
- Space group: P4/mmm (123)
- DFT total energy: -15.37 eV per cell

```
CuTeI2O
1.0
-1.177 3.761 -0.698
0.762 -0.836 -5.788
-5.585 -1.836 -0.470
I Te O Cu
2 1 1 1
Cartesian
-2.792 -0.918 -0.235 I
0.381 -0.418 -2.894 I
0.000 0.000 0.000 Te
-0.589 1.880 -0.349 O
-3.000 0.544 -3.478 Cu
```

***

# 7
## CuWI2O (PBEsol)

Data for CuWI2O after structural relaxation.

Summary:
- Space group: P4/mmm (123)
- DFT total energy: -22.52 eV per cell

```
CuWI2O
1.0
-3.406 -0.203 0.572
-0.655 -2.320 -4.726
0.662 -4.761 2.245
I O Cu W
2 1 1 1
Cartesian
0.331 -2.381 1.123 I
-0.328 -1.160 -2.363 I
-1.703 -0.102 0.286 O
0.000 0.000 0.000 Cu
-1.700 -3.642 -0.954 W
```

***

# 8
## ZrCuI2O (PBEsol)

Data for ZrCuI2O after structural relaxation.

Summary:
- Space group: P4/mmm (123)
- DFT total energy: -22.58 eV per cell

```
ZrCuI2O
1.0
-0.822 -0.671 -3.385
1.014 -5.254 0.795
-5.164 -0.783 1.409
I O Cu Zr
2 1 1 1
Cartesian
-2.582 -0.392 0.704 I
0.507 -2.627 0.398 I
-0.411 -0.336 -1.693 O
0.000 0.000 0.000 Cu
-2.486 -3.354 -0.591 Zr
```

***

Question: Look up the DFT total energy of the first one.
Answer: -19.74 eV per cell

***

Question: Which formula does entry 1 have?
Answer: CuPIO2

***

Question: DFT total energy of number 1 (CuPIO2)?
Answer: -19.74 eV per cell